DFT (PBE+U) results for crystalline NiPtO3 at its relaxed geometry.

abc: 2.9233 5.4408 8.1266
angles: 104.12 90.00 90.00
Last column: magnetic moment on the atom in μB.
Sites, in units of the cell vectors:
1 Ni 0.2500 0.3815 0.6276  1.68
2 Ni 0.7500 0.6185 0.3724  1.68
3 Pt 0.2500 0.0643 0.1776  -0.01
4 Pt 0.7500 0.9357 0.8224  -0.01
5 O 0.7500 0.1674 0.6748  -0.09
6 O 0.7500 0.6360 0.6251  0.04
7 O 0.2500 0.8326 0.3252  -0.09
8 O 0.2500 0.3640 0.3749  0.04
9 O 0.2500 0.7820 0.9533  0.08
10 O 0.7500 0.2180 0.0467  0.08

Output
The space-group type is P2_1/m (11). For the energy, the calculation gives -5.1516 eV/atom.